No. 1
The following is a DFT calculation (PBE) of ThCuB4 after structural relaxation.

The calculation puts the energy above the most stable polymorph in this dataset at 0.035 eV/atom. Its calculated volume is 11.826 Å³ per atom. The raw total energy comes out at -6.291 eV per atom.

Cell and atoms, written as CIF:
```
data_ThCuB4
_space_group_name_H-M_alt 'I m m m'
_space_group_IT_number 71
_space_group_name_Hall '-I 2 2'
_cell_length_a 3.186
_cell_length_b 5.279
_cell_length_c 8.439
_cell_angle_alpha 90.00
_cell_angle_beta 90.00
_cell_angle_gamma 90.00
loop_
_atom_site_label
_atom_site_type_symbol
_atom_site_fract_x
_atom_site_fract_y
_atom_site_fract_z
Th1 Th 0.000 0.000 0.000
Cu1 Cu 0.000 0.000 0.500
B1 B 0.000 0.319 0.260
```

***

No. 2
The following is a DFT calculation (PBE) of LiBeZnGa after structural relaxation.

The calculation puts the energy above the most stable polymorph in this dataset at 0.000 eV/atom. Its calculated volume is 12.559 Å³ per atom. The raw total energy comes out at -2.514 eV per atom.

Cell and atoms, written as CIF:
```
data_LiBeZnGa
_space_group_name_H-M_alt 'F -4 3 m'
_space_group_IT_number 216
_space_group_name_Hall 'F -4 2 3'
_cell_length_a 5.857
_cell_length_b 5.857
_cell_length_c 5.857
_cell_angle_alpha 90.00
_cell_angle_beta 90.00
_cell_angle_gamma 90.00
loop_
_atom_site_label
_atom_site_type_symbol
_atom_site_fract_x
_atom_site_fract_y
_atom_site_fract_z
Li1 Li 0.000 0.000 0.000
Be1 Be 0.000 0.000 0.500
Zn1 Zn 0.250 0.250 0.750
Ga1 Ga 0.250 0.250 0.250
```

***

No. 3
The following is a DFT calculation (PBE) of HfZrCdC after structural relaxation.

The calculation puts the energy above the most stable polymorph in this dataset at 0.000 eV/atom. Its calculated volume is 18.137 Å³ per atom. The raw total energy comes out at -7.707 eV per atom.

Cell and atoms, written as CIF:
```
data_HfZrCdC
_space_group_name_H-M_alt 'P -6 m 2'
_space_group_IT_number 187
_space_group_name_Hall 'P -6 2'
_cell_length_a 3.3128
_cell_length_b 3.3128
_cell_length_c 15.2660
_cell_angle_alpha 90.00
_cell_angle_beta 90.00
_cell_angle_gamma 120.00
loop_
_atom_site_label
_atom_site_type_symbol
_atom_site_fract_x
_atom_site_fract_y
_atom_site_fract_z
Hf1 Hf 0.0000 0.0000 0.1686
Zr1 Zr 0.6667 0.3333 0.3317
Cd1 Cd 0.0000 0.0000 0.5000
Cd2 Cd 0.6667 0.3333 0.0000
C1 C 0.3333 0.6667 0.2473
```

***

No. 4
The following is a DFT calculation (PBE) of YCuNiBi after structural relaxation.

The calculation puts the energy above the most stable polymorph in this dataset at 0.000 eV/atom. Its calculated volume is 19.079 Å³ per atom. The raw total energy comes out at -5.196 eV per atom.

Cell and atoms, written as CIF:
```
data_YCuNiBi
_space_group_name_H-M_alt 'F -4 3 m'
_space_group_IT_number 216
_space_group_name_Hall 'F -4 2 3'
_cell_length_a 6.733
_cell_length_b 6.733
_cell_length_c 6.733
_cell_angle_alpha 90.00
_cell_angle_beta 90.00
_cell_angle_gamma 90.00
loop_
_atom_site_label
_atom_site_type_symbol
_atom_site_fract_x
_atom_site_fract_y
_atom_site_fract_z
Y1 Y 0.000 0.000 0.000
Cu1 Cu 0.250 0.250 0.750
Ni1 Ni 0.250 0.250 0.250
Bi1 Bi 0.000 0.000 0.500
```

***

No. 5
The following is a DFT calculation (PBE) of SrTmCu2Sb2 after structural relaxation.

Its calculated volume is 23.818 Å³ per atom. The raw total energy comes out at -4.303 eV per atom.

Cell and atoms, written as CIF:
```
data_SrTmCu2Sb2
_space_group_name_H-M_alt 'P 3 m 1'
_space_group_IT_number 156
_cell_length_a 4.4549
_cell_length_b 4.4549
_cell_length_c 8.3147
_cell_angle_alpha 90.00
_cell_angle_beta 90.00
_cell_angle_gamma 120.00
loop_
_space_group_symop_operation_xyz
'x,y,z'
'-y,x-y,z'
'-x+y,-x,z'
'-y,-x,z'
'-x+y,y,z'
'x,x-y,z'
loop_
_atom_site_label
_atom_site_type_symbol
_atom_site_fract_x
_atom_site_fract_y
_atom_site_fract_z
Sr1 Sr 0.0000 0.0000 0.0000
Tm1 Tm 0.0000 0.0000 0.5003
Cu1 Cu 0.3333 0.6667 0.3087
Cu2 Cu 0.6667 0.3333 0.6944
Sb1 Sb 0.3333 0.6667 0.7335
Sb2 Sb 0.6667 0.3333 0.2663
```

***

No. 6
The following is a DFT calculation (PBE) of RbMgFeTc after structural relaxation.

The calculation puts the energy above the most stable polymorph in this dataset at 0.058 eV/atom. Its calculated volume is 18.271 Å³ per atom. The raw total energy comes out at -3.862 eV per atom.

Cell and atoms, written as CIF:
```
data_RbMgFeTc
_space_group_name_H-M_alt 'F -4 3 m'
_space_group_IT_number 216
_space_group_name_Hall 'F -4 2 3'
_cell_length_a 6.637
_cell_length_b 6.637
_cell_length_c 6.637
_cell_angle_alpha 90.00
_cell_angle_beta 90.00
_cell_angle_gamma 90.00
loop_
_atom_site_label
_atom_site_type_symbol
_atom_site_fract_x
_atom_site_fract_y
_atom_site_fract_z
Rb1 Rb 0.000 0.000 0.000
Mg1 Mg 0.250 0.250 0.750
Fe1 Fe 0.000 0.000 0.500
Tc1 Tc 0.250 0.250 0.250
```

***

No. 7
The following is a DFT calculation (PBE) of Cu2Ge2PdPt after structural relaxation.

Its calculated volume is 14.902 Å³ per atom. The raw total energy comes out at -4.843 eV per atom.

Cell and atoms, written as CIF:
```
data_Cu2Ge2PdPt
_space_group_name_H-M_alt 'P 4 m m'
_space_group_IT_number 99
_cell_length_a 3.744
_cell_length_b 3.744
_cell_length_c 6.378
_cell_angle_alpha 90.00
_cell_angle_beta 90.00
_cell_angle_gamma 90.00
loop_
_space_group_symop_operation_xyz
'x,y,z'
'-y,x,z'
'-x,-y,z'
'y,-x,z'
'-x,y,z'
'y,x,z'
'x,-y,z'
'-y,-x,z'
loop_
_atom_site_label
_atom_site_type_symbol
_atom_site_fract_x
_atom_site_fract_y
_atom_site_fract_z
Cu1 Cu 0.000 0.500 0.000
Ge1 Ge 0.000 0.000 0.286
Ge2 Ge 0.500 0.500 0.720
Pd1 Pd 0.000 0.000 0.684
Pt1 Pt 0.500 0.500 0.327
```

***

No. 8
The following is a DFT calculation (PBE) of Sm2GdAl7Cu2 after structural relaxation.

Its calculated volume is 18.870 Å³ per atom. The raw total energy comes out at -4.465 eV per atom.

Cell and atoms, written as CIF:
```
data_Sm2GdAl7Cu2
_space_group_name_H-M_alt 'R -3 m'
_space_group_IT_number 166
_space_group_name_Hall '-R 3 2"'
_cell_length_a 5.5287
_cell_length_b 5.5287
_cell_length_c 25.6623
_cell_angle_alpha 90.00
_cell_angle_beta 90.00
_cell_angle_gamma 120.00
loop_
_atom_site_label
_atom_site_type_symbol
_atom_site_fract_x
_atom_site_fract_y
_atom_site_fract_z
Sm1 Sm 0.0000 0.0000 0.1417
Gd1 Gd 0.0000 0.0000 0.0000
Al1 Al 0.0000 0.0000 0.5000
Al2 Al 0.0058 0.5029 0.9222
Cu1 Cu 0.0000 0.0000 0.3353
```

***

No. 9
The following is a DFT calculation (PBE) of ZrSi2Tc after structural relaxation.

Its calculated volume is 15.745 Å³ per atom. The raw total energy comes out at -7.543 eV per atom.

Cell and atoms, written as CIF:
```
data_ZrSi2Tc
_space_group_name_H-M_alt 'F -4 3 m'
_space_group_IT_number 216
_space_group_name_Hall 'F -4 2 3'
_cell_length_a 6.316
_cell_length_b 6.316
_cell_length_c 6.316
_cell_angle_alpha 90.00
_cell_angle_beta 90.00
_cell_angle_gamma 90.00
loop_
_atom_site_label
_atom_site_type_symbol
_atom_site_fract_x
_atom_site_fract_y
_atom_site_fract_z
Zr1 Zr 0.000 0.000 0.000
Si1 Si 0.000 0.000 0.500
Si2 Si 0.250 0.250 0.250
Tc1 Tc 0.250 0.250 0.750
```

***

No. 10
The following is a DFT calculation (PBE) of Nd2PPd8 after structural relaxation.

Its calculated volume is 18.637 Å³ per atom. The raw total energy comes out at -5.847 eV per atom.

Cell and atoms, written as CIF:
```
data_Nd2PPd8
_space_group_name_H-M_alt 'A m m 2'
_space_group_IT_number 38
_cell_length_a 4.363
_cell_length_b 17.545
_cell_length_c 5.356
_cell_angle_alpha 90.00
_cell_angle_beta 90.00
_cell_angle_gamma 90.00
loop_
_space_group_symop_operation_xyz
'x,y,z'
'-x,-y,z'
'-x,y,z'
'x,-y,z'
'x,y+1/2,z+1/2'
'-x,-y+1/2,z+1/2'
'-x,y+1/2,z+1/2'
'x,-y+1/2,z+1/2'
loop_
_atom_site_label
_atom_site_type_symbol
_atom_site_fract_x
_atom_site_fract_y
_atom_site_fract_z
Nd1 Nd 0.000 0.125 0.000
P1 P 0.500 0.000 0.277
Pd1 Pd 0.000 0.000 0.483
Pd2 Pd 0.000 0.202 0.499
Pd3 Pd 0.500 0.000 0.855
Pd4 Pd 0.500 0.111 0.493
Pd5 Pd 0.500 0.247 0.757
```

***

No. 11
The following is a DFT calculation (PBE) of NdDyHg after structural relaxation.

The calculation puts the energy above the most stable polymorph in this dataset at 0.244 eV/atom. Its calculated volume is 32.553 Å³ per atom. The raw total energy comes out at -3.318 eV per atom. The calculated formation energy is -0.29 eV per formula unit.

Cell and atoms, written as CIF:
```
data_NdDyHg
_space_group_name_H-M_alt 'F -4 3 m'
_space_group_IT_number 216
_space_group_name_Hall 'F -4 2 3'
_cell_length_a 7.310
_cell_length_b 7.310
_cell_length_c 7.310
_cell_angle_alpha 90.00
_cell_angle_beta 90.00
_cell_angle_gamma 90.00
loop_
_atom_site_label
_atom_site_type_symbol
_atom_site_fract_x
_atom_site_fract_y
_atom_site_fract_z
Nd1 Nd 0.000 0.000 0.000
Dy1 Dy 0.000 0.000 0.500
Hg1 Hg 0.250 0.250 0.750
```

***

No. 12
The following is a DFT calculation (PBE) of HoSiPt2 after structural relaxation.

Its calculated volume is 17.534 Å³ per atom. The raw total energy comes out at -6.708 eV per atom.

Cell and atoms, written as CIF:
```
data_HoSiPt2
_space_group_name_H-M_alt 'P n m a'
_space_group_IT_number 62
_cell_length_a 7.309
_cell_length_b 6.970
_cell_length_c 5.507
_cell_angle_alpha 90.00
_cell_angle_beta 90.00
_cell_angle_gamma 90.00
loop_
_space_group_symop_operation_xyz
'x,y,z'
'-x,-y,-z'
'-x+1/2,-y,z+1/2'
'x+1/2,y,-z+1/2'
'x+1/2,-y+1/2,-z+1/2'
'-x+1/2,y+1/2,z+1/2'
'-x,y+1/2,-z'
'x,-y+1/2,z'
loop_
_atom_site_label
_atom_site_type_symbol
_atom_site_fract_x
_atom_site_fract_y
_atom_site_fract_z
Ho1 Ho 0.026 0.250 0.135
Si1 Si 0.120 0.750 0.364
Pt1 Pt 0.182 0.050 0.592
```